Material: ZrTi2Mo
Method: DFT, GGA-PBE
State: optimized geometry

Total energy in eV per atom: -8.39

Cell: 7.230 7.230 5.723 Å, 90.00 90.00 90.00°
Atoms (fractional coordinates):
Zr 0.000 0.000 0.000
Zr 0.000 0.500 0.250
Zr 0.500 0.000 0.750
Zr 0.500 0.500 0.500
Ti 0.222 0.250 0.625
Ti 0.250 0.722 0.875
Ti 0.250 0.778 0.375
Ti 0.278 0.250 0.125
Ti 0.722 0.750 0.125
Ti 0.750 0.222 0.375
Ti 0.750 0.278 0.875
Ti 0.778 0.750 0.625
Mo 0.000 0.000 0.500
Mo 0.000 0.500 0.750
Mo 0.500 0.000 0.250
Mo 0.500 0.500 0.000


Material: ZrTi3Mo
Method: DFT, GGA-PBE
State: optimized geometry

Total energy in eV per atom: -8.49

Cell: 6.817 6.817 5.203 Å, 90.00 90.00 129.56°
Atoms (fractional coordinates):
Zr 0.086 0.914 0.750
Zr 0.914 0.086 0.250
Ti 0.104 0.402 0.750
Ti 0.316 0.684 0.250
Ti 0.402 0.104 0.250
Ti 0.598 0.896 0.750
Ti 0.684 0.316 0.750
Ti 0.896 0.598 0.250
Mo 0.500 0.500 0.000
Mo 0.500 0.500 0.500


no.,DFT formation energy (eV/atom),D(E_F) (states/eV/f.u.)
1,0.4066,4.09
2,0.1257,7.64